[1]
A plane-wave DFT calculation with PBE-GGA was carried out for a geometry-optimized ScTcAg2 structure.

```
data_ScTcAg2
_chemical_formula_sum 'Sc2 Tc2 Ag4'
_cell_length_a 3.9882
_cell_length_b 3.9882
_cell_length_c 8.8521
_cell_angle_alpha 90.00
_cell_angle_beta 90.00
_cell_angle_gamma 90.00
_symmetry_space_group_name_H-M 'I 4/m m m'
_symmetry_Int_Tables_number 139
_symmetry_space_group_name_Hall '-I 4 2'
loop_
_atom_site_label
_atom_site_type_symbol
_atom_site_fract_x
_atom_site_fract_y
_atom_site_fract_z
_atom_site_occupancy
Sc1 Sc 0.0000 0.0000 0.0000 1
Tc1 Tc 0.0000 0.0000 0.5000 1
Ag1 Ag 0.0000 0.5000 0.2500 1
```

- crystal system = tetragonal
- energy above the lowest structure with this stoichiometry (meV per atom) = 51.4
- formation energy (eV per atom) = 0.16

[2]
A plane-wave DFT calculation with PBE-GGA was carried out for a geometry-optimized Pr3DyTe4 structure.

```
data_Pr3DyTe4
_chemical_formula_sum 'Pr6 Dy2 Te8'
_cell_length_a 9.1039
_cell_length_b 12.7013
_cell_length_c 4.4244
_cell_angle_alpha 90.00
_cell_angle_beta 90.00
_cell_angle_gamma 90.00
_symmetry_space_group_name_H-M 'C m m m'
_symmetry_Int_Tables_number 65
_symmetry_space_group_name_Hall '-C 2 2'
loop_
_atom_site_label
_atom_site_type_symbol
_atom_site_fract_x
_atom_site_fract_y
_atom_site_fract_z
_atom_site_occupancy
Pr1 Pr 0.0000 0.0000 0.0000 1
Pr2 Pr 0.2500 0.2500 0.5000 1
Dy1 Dy 0.0000 0.5000 0.0000 1
Te1 Te 0.0000 0.2553 0.0000 1
Te2 Te 0.2398 0.5000 0.5000 1
```

- crystal system = orthorhombic
- E_form (uncorrected) (eV/f.u.) = -11.2
- energy above the lowest structure with this stoichiometry (meV per atom) = 0.0

[3]
A plane-wave DFT calculation with PBE-GGA was carried out for a geometry-optimized KBaGa structure.

```
data_KBaGa
_chemical_formula_sum 'K4 Ba4 Ga4'
_cell_length_a 7.8454
_cell_length_b 4.5296
_cell_length_c 16.7167
_cell_angle_alpha 90.00
_cell_angle_beta 90.01
_cell_angle_gamma 90.00
_symmetry_space_group_name_H-M 'C 1 m 1'
_symmetry_Int_Tables_number 8
_symmetry_space_group_name_Hall 'C -2y'
loop_
_atom_site_label
_atom_site_type_symbol
_atom_site_fract_x
_atom_site_fract_y
_atom_site_fract_z
_atom_site_occupancy
K1 K 0.0000 0.0000 0.0000 1
K2 K 0.1670 0.5000 0.7653 1
Ba1 Ba 0.3315 0.0000 0.2416 1
Ba2 Ba 0.3317 0.0000 0.5241 1
Ga1 Ga 0.1649 0.5000 0.3921 1
Ga2 Ga 0.4982 0.5000 0.3735 1
```

- crystal system = monoclinic
- energy above the lowest structure with this stoichiometry (meV per atom) = 0.0
- formation energy (eV per atom) = -0.25

[4]
A plane-wave DFT calculation with PBE-GGA was carried out for a geometry-optimized Zn2CdAu structure.

```
data_Zn2CdAu
_chemical_formula_sum 'Zn2 Cd1 Au1'
_cell_length_a 3.1005
_cell_length_b 4.4350
_cell_length_c 5.1120
_cell_angle_alpha 90.00
_cell_angle_beta 90.29
_cell_angle_gamma 90.00
_symmetry_space_group_name_H-M 'P 1 m 1'
_symmetry_Int_Tables_number 6
_symmetry_space_group_name_Hall 'P -2y'
loop_
_atom_site_label
_atom_site_type_symbol
_atom_site_fract_x
_atom_site_fract_y
_atom_site_fract_z
_atom_site_occupancy
Zn1 Zn 0.0000 0.0000 0.0000 1
Zn2 Zn 0.4979 0.5000 0.8564 1
Cd1 Cd 0.5012 0.0000 0.5165 1
Au1 Au 0.0013 0.5000 0.3046 1
```

- crystal system = monoclinic
- energy above the lowest structure with this stoichiometry (meV per atom) = 17.9
- formation energy (eV per atom) = -0.08

[5]
A plane-wave DFT calculation with PBE-GGA was carried out for a geometry-optimized CoTe4Cl structure.

```
data_CoTe4Cl
_chemical_formula_sum 'Co2 Te8 Cl2'
_cell_length_a 6.6944
_cell_length_b 7.9138
_cell_length_c 8.6228
_cell_angle_alpha 62.74
_cell_angle_beta 79.86
_cell_angle_gamma 67.29
_symmetry_space_group_name_H-M 'P -1'
_symmetry_Int_Tables_number 2
_symmetry_space_group_name_Hall '-P 1'
loop_
_atom_site_label
_atom_site_type_symbol
_atom_site_fract_x
_atom_site_fract_y
_atom_site_fract_z
_atom_site_occupancy
Co1 Co 0.2500 0.0410 0.4181 1
Te1 Te 0.1104 0.0943 0.1277 1
Te2 Te 0.1478 0.7432 0.6242 1
Te3 Te 0.3524 0.1328 0.6240 1
Te4 Te 0.3892 0.2777 0.1276 1
Cl1 Cl 0.2500 0.5532 0.3934 1
```

- crystal system = triclinic
- E_form (uncorrected) (eV/f.u.) = -0.8
- energy above the lowest structure with this stoichiometry (meV per atom) = 0.0

[6]
A plane-wave DFT calculation with PBE-GGA was carried out for a geometry-optimized TbHoHgPd structure.

```
data_TbHoHgPd
_chemical_formula_sum 'Tb1 Ho1 Hg1 Pd1'
_cell_length_a 3.5835
_cell_length_b 3.5835
_cell_length_c 7.3617
_cell_angle_alpha 90.00
_cell_angle_beta 90.00
_cell_angle_gamma 90.00
_symmetry_space_group_name_H-M 'P 4 m m'
_symmetry_Int_Tables_number 99
_symmetry_space_group_name_Hall 'P 4 -2'
loop_
_atom_site_label
_atom_site_type_symbol
_atom_site_fract_x
_atom_site_fract_y
_atom_site_fract_z
_atom_site_occupancy
Tb1 Tb 0.0000 0.0000 0.0000 1
Ho1 Ho 0.0000 0.0000 0.4589 1
Hg1 Hg 0.5000 0.5000 0.7260 1
Pd1 Pd 0.5000 0.5000 0.2349 1
```

- crystal system = tetragonal
- energy above the lowest structure with this stoichiometry (meV per atom) = 0.0
- formation energy (eV per atom) = -0.69

Question: Which of these has the highest energy above the lowest structure with this stoichiometry?
Answer: ScTcAg2